The following is a GGA-PBE calculation of an optimized crystal structure of La8IrN4, from the Alexandria database.

Structure (extended XYZ):
```
13
Lattice="7.7942 0.0000 0.0000 3.8971 6.7499 0.0000 3.8971 2.2500 6.3639" Properties=species:S:1:pos:R:3 pbc="T T T"
La 3.8971 2.2500 3.6924
La 2.1813 1.2594 0.8905
La 5.6129 1.2594 0.8905
La 6.1103 5.4721 3.8694
La 7.7942 4.5000 1.1196
La 9.4780 5.4721 3.8694
La 7.7942 2.5556 3.8694
La 3.8971 4.2312 0.8905
N 7.7942 4.5000 5.6299
N 9.7929 3.3460 2.3660
N 5.7954 3.3460 2.3660
N 7.7942 6.8079 2.3660
Ir 11.6912 6.7499 4.7729
```

V: 25.8 Å³/atom
ΔE_f (raw): -790 meV/atom
Total magnetization: 0.0000 μB/atom
Total DFT energy (no corrections): -91.9 eV for the cell shown